The following is a DFT calculation (GGA-PBE) of a geometry-optimized Nd4Re structure.

The size of the total moment is 0.684 μB/f.u. The value obtained for the raw total energy is -0.4375 Ry per atom. As for the formation energy: 1.76 eV/f.u.

The structure belongs to space group Pm-3m (No. 221); the cell edges are 5.6079, 5.6079 and 5.6079 Å and the angles 90.00°, 90.00° and 90.00°. The asymmetric unit holds Nd at (0.0000, 0.0000, 0.0000), Nd at (0.0000, 0.5000, 0.5000) and Re at (0.5000, 0.5000, 0.5000).